# 1
An optimized crystal structure of BaZrSe2. Source: the Alexandria database, functional PBE.

Unit cell a=7.3351 b=7.3351 c=7.3351 alpha=146.35 beta=146.35 gamma=48.32
With the nearest neighbours (Å) after each atom.
Atoms (fractional coordinates):
Ba: 0.0000 0.0000 0.0000  4 Se 3.00
Zr: 0.7500 0.2500 0.5000  4 Se 3.00
Se: 0.2500 0.7500 0.5000  4 Zr 3.00
Se: 0.5000 0.5000 0.0000  4 Ba 3.00

## Properties
The symmetry is I-4m2 (119). The uncorrected formation energy is -0.718 eV/atom. As for the offset from the most stable computed form: 739 meV/atom. Its magnetization is 0.43 μB per atom.

---

# 2
An optimized crystal structure of Sc2Ti2Te. Source: the Alexandria database, functional PBE.

Unit cell a=7.1387 b=7.1387 c=4.1575 alpha=90.00 beta=90.00 gamma=90.00
With the nearest neighbours (Å) after each atom.
Atoms (fractional coordinates):
Sc: 0.1591 0.3409 0.0000  6 Ti 2.95, 1 Sc 3.21
Sc: 0.3409 0.8409 0.0000  6 Ti 2.95, 1 Sc 3.21
Sc: 0.6591 0.1591 0.0000  6 Ti 2.95, 1 Sc 3.21
Sc: 0.8409 0.6591 0.0000  6 Ti 2.95, 1 Sc 3.21
Ti: 0.1339 0.6339 0.5000  1 Ti 2.70, 2 Te 2.78, 6 Sc 2.95
Ti: 0.3661 0.1339 0.5000  1 Ti 2.70, 2 Te 2.78, 6 Sc 2.95
Ti: 0.6339 0.8661 0.5000  1 Ti 2.70, 2 Te 2.78, 6 Sc 2.95
Ti: 0.8661 0.3661 0.5000  1 Ti 2.70, 2 Te 2.78, 6 Sc 2.95
Te: 0.0000 0.0000 0.5000  4 Ti 2.78
Te: 0.5000 0.5000 0.5000  4 Ti 2.78

## Properties
The symmetry is P4/mbm (127). The uncorrected formation energy is -0.208 eV/atom. Its magnetization is 0.00 μB per atom.

---

# 3
An optimized crystal structure of Li2TbDy2Si2. Source: the Alexandria database, functional PBE.

Unit cell a=9.2163 b=9.2163 c=9.2163 alpha=27.79 beta=27.79 gamma=27.79
With the nearest neighbours (Å) after each atom.
Atoms (fractional coordinates):
Li: 0.1010 0.1010 0.1010  3 Si 2.56
Li: 0.8990 0.8990 0.8990  3 Si 2.56
Tb: 0.5000 0.5000 0.5000  6 Li 3.09, 6 Si 3.16, 2 Dy 3.37
Dy: 0.3733 0.3733 0.3733  3 Si 2.97, 3 Li 3.03, 3 Dy 3.32
Dy: 0.6267 0.6267 0.6267  3 Si 2.97, 3 Li 3.03, 3 Dy 3.32
Si: 0.2364 0.2364 0.2364  3 Li 2.56
Si: 0.7636 0.7636 0.7636  3 Li 2.56

## Properties
The symmetry is R-3m (166). The uncorrected formation energy is -0.395 eV/atom. Its magnetization is 0.00 μB per atom.

---

# 4
An optimized crystal structure of Sc2SBr3. Source: the Alexandria database, functional PBE.

Unit cell a=9.9163 b=9.9163 c=13.3249 alpha=131.67 beta=131.67 gamma=21.84
With the nearest neighbours (Å) after each atom.
Atoms (fractional coordinates):
Sc: 0.0830 0.0830 0.4681  2 S 2.58-2.61, 4 Br 2.70-2.86
Sc: 0.3665 0.3665 0.1672  2 S 2.52, 4 Br 2.67-2.79
Sc: 0.6335 0.6335 0.8328  2 S 2.52, 4 Br 2.67-2.79
Sc: 0.9170 0.9170 0.5319  2 S 2.58-2.61, 4 Br 2.70-2.86
S: 0.0944 0.0944 0.6749  4 Sc 2.52-2.61
S: 0.9056 0.9056 0.3251  4 Sc 2.52-2.61
Br: 0.1779 0.1779 0.0245  3 Sc 2.77-2.79
Br: 0.2823 0.2823 0.3880  2 Sc 2.70
Br: 0.4583 0.4583 0.7285  3 Sc 2.67-2.86
Br: 0.5417 0.5417 0.2715  3 Sc 2.67-2.86
Br: 0.7177 0.7177 0.6120  2 Sc 2.70
Br: 0.8221 0.8221 0.9755  3 Sc 2.77-2.79

## Properties
The symmetry is C2/m (12). The uncorrected formation energy is -1.644 eV/atom. Its magnetization is 0.11 μB per atom.

---

# 5
An optimized crystal structure of V3Tc3B4. Source: the Alexandria database, functional PBE.

Unit cell a=3.0077 b=5.8648 c=5.8648 alpha=89.10 beta=90.00 gamma=90.00
With the nearest neighbours (Å) after each atom.
Atoms (fractional coordinates):
V: 0.0000 0.0000 0.0000  6 B 2.27
V: 0.5000 0.3215 0.8258  4 B 2.31-2.43
V: 0.5000 0.8258 0.3215  4 B 2.31-2.43
Tc: 0.0000 0.1462 0.4966  6 B 2.30-2.31
Tc: 0.0000 0.4966 0.1462  6 B 2.30-2.31
Tc: 0.0000 0.6500 0.6500  6 B 2.32
B: 0.5000 0.2030 0.2030  1 B 1.96
B: 0.5000 0.4381 0.4381  1 B 1.96
B: 0.5000 0.7175 0.9416  1 B 1.84
B: 0.5000 0.9416 0.7175  1 B 1.84

## Properties
The symmetry is Amm2 (38). The formation energy is -0.525 eV per atom. Its magnetization is 0.00 μB per atom.

---

# 6
An optimized crystal structure of Tm5GaSb4. Source: the Alexandria database, functional PBE.

Unit cell a=7.4455 b=7.4455 c=7.4455 alpha=99.58 beta=99.58 gamma=131.85
With the nearest neighbours (Å) after each atom.
Atoms (fractional coordinates):
Tm: 0.0000 0.0000 0.0000  2 Ga 3.04, 4 Sb 3.04
Tm: 0.2043 0.6010 0.8053  1 Ga 3.00, 5 Sb 3.04-3.06
Tm: 0.3990 0.2043 0.6032  1 Ga 3.00, 5 Sb 3.04-3.06
Tm: 0.6010 0.7957 0.3968  1 Ga 3.00, 5 Sb 3.04-3.06
Tm: 0.7957 0.3990 0.1947  1 Ga 3.00, 5 Sb 3.04-3.06
Ga: 0.5000 0.5000 0.0000  6 Tm 3.00-3.04
Sb: 0.0966 0.3010 0.3977  6 Tm 3.04-3.06
Sb: 0.3010 0.9034 0.2044  6 Tm 3.04-3.06
Sb: 0.6990 0.0966 0.7956  6 Tm 3.04-3.06
Sb: 0.9034 0.6990 0.6023  6 Tm 3.04-3.06

## Properties
The symmetry is I4/m (87). The uncorrected formation energy is -0.861 eV/atom. Its magnetization is 0.00 μB per atom.

---

# 7
An optimized crystal structure of Ta2AgPbBr. Source: the Alexandria database, functional PBE.

Unit cell a=5.1533 b=5.1533 c=4.9909 alpha=90.00 beta=90.00 gamma=90.00
With the nearest neighbours (Å) after each atom.
Atoms (fractional coordinates):
Ta: 0.0000 0.5000 0.0000  2 Ag 2.58
Ta: 0.5000 0.0000 0.0000  2 Ag 2.58
Ag: 0.0000 0.0000 0.0000  2 Br 2.50, 4 Ta 2.58
Pb: 0.5000 0.5000 0.5000  8 Ta 3.59, 4 Br 3.64
Br: 0.0000 0.0000 0.5000  2 Ag 2.50

## Properties
The symmetry is P4/mmm (123). The uncorrected formation energy is 1.770 eV/atom. Its magnetization is 0.19 μB per atom.

---

# 8
An optimized crystal structure of LiNiH. Source: the Alexandria database, functional PBE.

Unit cell a=5.1005 b=5.1005 c=4.2773 alpha=91.14 beta=91.14 gamma=28.11
With the nearest neighbours (Å) after each atom.
Atoms (fractional coordinates):
Li: 0.0700 0.0700 0.2622  4 H 2.11-2.12
Li: 0.9300 0.9300 0.7378  4 H 2.11-2.12
Ni: 0.1983 0.1983 0.7730  2 H 1.65
Ni: 0.8017 0.8017 0.2270  2 H 1.65
H: 0.4009 0.4009 0.3399  2 Ni 1.65
H: 0.5991 0.5991 0.6601  2 Ni 1.65

## Properties
The symmetry is C2/m (12). Its magnetization is 0.00 μB per atom. As for the calculated total energy: -11.5 eV/f.u.

---

# 9
An optimized crystal structure of Ti7In3Au2. Source: the Alexandria database, functional PBE.

Unit cell a=4.3883 b=3.7361 c=14.1694 alpha=90.00 beta=98.77 gamma=90.00
With the nearest neighbours (Å) after each atom.
Atoms (fractional coordinates):
Ti: 0.0000 0.0000 0.0000  4 In 2.88, 8 Ti 2.90-3.06
Ti: 0.0778 0.5000 0.1583  2 Au 2.83, 6 Ti 2.88-2.90, 2 In 3.12
Ti: 0.2618 0.5000 0.5239  2 Ti 2.29
Ti: 0.4250 0.0000 0.8477  2 Au 2.65, 2 In 2.84, 4 Ti 2.88
Ti: 0.5750 0.0000 0.1523  2 Au 2.65, 2 In 2.84, 4 Ti 2.88
Ti: 0.7382 0.5000 0.4761  2 Ti 2.29
Ti: 0.9222 0.5000 0.8417  2 Au 2.83, 6 Ti 2.88-2.90, 2 In 3.12
In: 0.1744 0.0000 0.3533  4 Au 3.03, 8 Ti 3.03-3.37
In: 0.5000 0.5000 0.0000  12 Ti 2.84-3.12
In: 0.8256 0.0000 0.6467  4 Au 3.03, 8 Ti 3.03-3.37
Au: 0.3592 0.5000 0.7137  5 Ti 2.65-2.83
Au: 0.6408 0.5000 0.2863  5 Ti 2.65-2.83

## Properties
The symmetry is P2/m (10). The formation energy is -0.027 eV per atom. Its magnetization is 0.00 μB per atom.

---

# 10
An optimized crystal structure of PmGaAs2. Source: the Alexandria database, functional PBE.

Unit cell a=3.9805 b=3.9805 c=5.9479 alpha=90.00 beta=90.00 gamma=90.00
With the nearest neighbours (Å) after each atom.
Atoms (fractional coordinates):
Pm: 0.0000 0.0000 0.0000  2 Ga 2.97, 8 As 3.10
Ga: 0.0000 0.0000 0.5000  2 Pm 2.97, 8 As 3.28
As: 0.5000 0.5000 0.2165  1 As 2.58
As: 0.5000 0.5000 0.7835  1 As 2.58

## Properties
The symmetry is P4/mmm (123). The formation energy is -0.579 eV per atom. As for the offset from the most stable computed form: 23 meV/atom. Its magnetization is 0.00 μB per atom.

---

# 11
An optimized crystal structure of Nd8Zn2Cd. Source: the Alexandria database, functional PBE.

Unit cell a=9.3216 b=9.3216 c=7.8251 alpha=110.60 beta=110.60 gamma=31.87
With the nearest neighbours (Å) after each atom.
Atoms (fractional coordinates):
Nd: 0.0382 0.0382 0.2581  1 Zn 3.03
Nd: 0.1887 0.1887 0.7907  3 Zn 2.99-3.30
Nd: 0.3241 0.3241 0.5325  1 Zn 2.96, 1 Cd 3.26
Nd: 0.4085 0.4085 0.0373  2 Zn 3.20, 1 Cd 3.38, 3 Nd 3.46-3.54
Nd: 0.5915 0.5915 0.9627  2 Zn 3.20, 1 Cd 3.38, 3 Nd 3.46-3.54
Nd: 0.6759 0.6759 0.4675  1 Zn 2.96, 1 Cd 3.26
Nd: 0.8113 0.8113 0.2093  3 Zn 2.99-3.30
Nd: 0.9618 0.9618 0.7419  1 Zn 3.03
Zn: 0.1898 0.1898 0.1734  7 Nd 2.96-3.30
Zn: 0.8102 0.8102 0.8266  7 Nd 2.96-3.30
Cd: 0.5000 0.5000 0.5000  8 Nd 3.26-3.40

## Properties
The symmetry is C2/m (12). The formation energy is -0.124 eV per atom. Its magnetization is 0.00 μB per atom.

---

# 12
An optimized crystal structure of KNbO3. Source: the Alexandria database, functional PBE.

Unit cell a=7.9782 b=7.9782 c=5.3276 alpha=90.78 beta=90.78 gamma=85.14
With the nearest neighbours (Å) after each atom.
Atoms (fractional coordinates):
K: 0.1088 0.3105 0.3181  5 O 2.63-2.89
K: 0.3105 0.1088 0.8181  5 O 2.63-2.89
K: 0.6895 0.8912 0.1819  5 O 2.63-2.89
K: 0.8912 0.6895 0.6819  5 O 2.63-2.89
Nb: 0.2432 0.7568 0.2500  2 O 1.82
Nb: 0.4170 0.5830 0.7500  6 O 1.94-2.15
Nb: 0.5830 0.4170 0.2500  6 O 1.94-2.15
Nb: 0.7568 0.2432 0.7500  2 O 1.82
O: 0.0296 0.7508 0.1302  1 Nb 1.82
O: 0.2078 0.6134 0.5612  2 Nb 1.94-2.06
O: 0.2492 0.9704 0.3698  1 Nb 1.82
O: 0.3435 0.4753 0.0666  2 Nb 2.02-2.15
O: 0.3866 0.7922 0.9388  2 Nb 1.94-2.06
O: 0.4753 0.3435 0.5666  2 Nb 2.02-2.15
O: 0.5247 0.6565 0.4334  2 Nb 2.02-2.15
O: 0.6134 0.2078 0.0612  2 Nb 1.94-2.06
O: 0.6565 0.5247 0.9334  2 Nb 2.02-2.15
O: 0.7508 0.0296 0.6302  1 Nb 1.82
O: 0.7922 0.3866 0.4388  2 Nb 1.94-2.06
O: 0.9704 0.2492 0.8698  1 Nb 1.82

## Properties
The symmetry is C2/c (15). The uncorrected formation energy is -2.391 eV/atom. Its magnetization is 0.00 μB per atom.